# 1
The following is a DFT calculation (PBE) of a relaxed structure of K2SbW.

Results
VASP energy: -3.808 eV per atom
space-group type: P4/mmm
magnetization: 3.00 μB/f.u.

Cell: 4.3823 4.3823 5.7628 Å, 90.00 90.00 90.00°
Sites, in units of the cell vectors:
K  0.0000  0.5000  0.0000
K  0.5000  0.0000  0.0000
Sb  0.0000  0.0000  0.5000
W  0.5000  0.5000  0.5000



# 2
The following is a DFT calculation (PBE) of a relaxed structure of TiNbZnTe2.

Results
VASP energy: -4.508 eV per atom
space-group type: P4/mmm
magnetization: 2.38 μB/f.u.

Cell: 5.3691 5.3691 4.9894 Å, 90.00 90.00 90.00°
Sites, in units of the cell vectors:
Ti  0.0000  0.0000  0.0000
Nb  0.5000  0.5000  0.5000
Zn  0.5000  0.5000  0.0000
Te  0.0000  0.5000  0.5000
Te  0.5000  0.0000  0.5000



# 3
The following is a DFT calculation (PBE) of a relaxed structure of Rb3SrPb2Cl9.

Results
VASP energy: -3.628 eV per atom
space-group type: P-3m1
magnetization: 0.00 μB/f.u.

Cell: 8.0438 8.0438 10.0422 Å, 90.00 90.00 120.00°
Sites, in units of the cell vectors:
Rb  0.0000  0.0000  0.0000
Rb  0.3333  0.6667  0.7342
Rb  0.6667  0.3333  0.2658
Sr  0.0000  0.0000  0.5000
Pb  0.3333  0.6667  0.1751
Pb  0.6667  0.3333  0.8249
Cl  0.0000  0.5000  0.0000
Cl  0.1602  0.3203  0.3213
Cl  0.1602  0.8398  0.3213
Cl  0.3203  0.1602  0.6787
Cl  0.5000  0.0000  0.0000
Cl  0.5000  0.5000  0.0000
Cl  0.6797  0.8398  0.3213
Cl  0.8398  0.1602  0.6787
Cl  0.8398  0.6797  0.6787



# 4
The following is a DFT calculation (PBE) of a relaxed structure of Cs2AgTeI.

Results
VASP energy: -2.693 eV per atom
space-group type: P4/mmm
magnetization: 0.00 μB/f.u.

Cell: 7.4227 7.4227 5.2203 Å, 90.00 90.00 90.00°
Sites, in units of the cell vectors:
Cs  0.0000  0.5000  0.0000
Cs  0.5000  0.0000  0.0000
Ag  0.0000  0.0000  0.5000
Te  0.0000  0.0000  0.0000
I  0.5000  0.5000  0.5000